one:
Crystalline Ac8TlIr4 at its relaxed geometry. Source: Alexandria, functional PBE-GGA.

a = 9.044 Å, b = 9.044 Å, c = 9.044 Å
α = 60.00°, β = 60.00°, γ = 60.00°
Sites, in units of the cell vectors:
Ac1 0.084 0.639 0.639
Ac2 0.107 0.107 0.107
Ac3 0.107 0.107 0.680
Ac4 0.107 0.680 0.107
Ac5 0.639 0.084 0.639
Ac6 0.639 0.639 0.084
Ac7 0.639 0.639 0.639
Ac8 0.680 0.107 0.107
Tl1 0.250 0.250 0.250
Ir1 0.382 0.873 0.873
Ir2 0.873 0.382 0.873
Ir3 0.873 0.873 0.382
Ir4 0.873 0.873 0.873

Values from the calculation:
Symmetry: No. 216

two:
Crystalline Ac8TlIr4 at its relaxed geometry. Source: Alexandria, functional PBE-GGA.

a = 10.609 Å, b = 10.609 Å, c = 14.000 Å
α = 129.25°, β = 129.25°, γ = 23.94°
Sites, in units of the cell vectors:
Ac1 0.000 0.000 0.000
Ac2 0.037 0.037 0.753
Ac3 0.082 0.082 0.492
Ac4 0.331 0.331 0.664
Ac5 0.413 0.413 0.167
Ac6 0.663 0.663 0.339
Ac7 0.707 0.707 0.078
Ac8 0.745 0.745 0.831
Tl1 0.372 0.372 0.415
Ir1 0.034 0.034 0.241
Ir2 0.227 0.227 0.954
Ir3 0.517 0.517 0.877
Ir4 0.711 0.711 0.590

Values from the calculation:
Symmetry: No. 8

Which one sits at the bottom of the stability order? one does.